The following is a DFT calculation (PBE+U) of a relaxed structure of Zr3CrF.

Values from the calculation:
E above lowest polymorph	0.0000	eV/atom
magnetic moment	2.7	μB/f.u.

Cell: 4.5746 4.5746 4.5746 Å, 90.00 90.00 90.00°
Last column: nearest neighbours and their distance in Å.
Space group Pm-3m (No. 221)
One atom of each set of equivalent atoms:
Zr  0.0000  0.0000  0.5000  2 F 2.29
Cr  0.5000  0.5000  0.5000  12 Zr 3.23
F  0.0000  0.0000  0.0000  6 Zr 2.29